Record 1
DFT (GGA-PBE) results for crystalline YMgAgTe2S at its relaxed geometry.

Energy   -26.41 eV/f.u.
Space group   No. 63
Calculated density   5.542 Mg/m³

Unit cell a=7.2586 b=7.2586 c=10.6343 alpha=90.00 beta=90.00 gamma=147.06
Last column: nearest neighbours and their distance in Å.
Fractional positions:
Ag1 0.9853 0.0147 0.2500  2 S 2.61, 2 Te 2.76
Ag2 0.0147 0.9853 0.7500  2 S 2.61, 2 Te 2.76
Mg1 0.2239 0.7761 0.2500  2 S 2.68
Mg2 0.7761 0.2239 0.7500  2 S 2.68
S1 0.6004 0.3996 0.2500  2 Ag 2.61, 2 Mg 2.68
S2 0.3996 0.6004 0.7500  2 Ag 2.61, 2 Mg 2.68
Te1 0.8445 0.1555 0.0676  1 Ag 2.76, 2 Y 3.07
Te2 0.8445 0.1555 0.4324  1 Ag 2.76, 2 Y 3.07
Te3 0.1555 0.8445 0.5676  1 Ag 2.76, 2 Y 3.07
Te4 0.1555 0.8445 0.9324  1 Ag 2.76, 2 Y 3.07
Y1 0.5000 0.5000 0.0000  2 S 3.00, 4 Te 3.07
Y2 0.5000 0.5000 0.5000  2 S 3.00, 4 Te 3.07



Record 2
DFT (GGA-PBE) results for crystalline Tm2Tc at its relaxed geometry.

Energy   -15.26 eV/f.u.
DFT formation energy   1351 meV/atom
Space group   No. 227
Calculated density   3.957 Mg/m³
Distance to the lowest polymorph of the same formula   320 meV/atom

Unit cell a=8.0275 b=8.0275 c=8.0275 alpha=60.00 beta=60.00 gamma=60.00
Last column: nearest neighbours and their distance in Å.
Fractional positions:
Tc1 0.2500 0.2500 0.2500  4 Tm 2.46
Tc2 0.5000 0.5000 0.5000  4 Tm 2.46
Tm1 0.8750 0.3750 0.3750  2 Tc 2.46
Tm2 0.3750 0.8750 0.3750  2 Tc 2.46
Tm3 0.3750 0.3750 0.3750  2 Tc 2.46
Tm4 0.3750 0.3750 0.8750  2 Tc 2.46



Record 3
DFT (GGA-PBE) results for crystalline Tl2Ir2O5 at its relaxed geometry.

Energy   -50.87 eV/f.u.
Space group   No. 123
Calculated density   10.789 Mg/m³
Distance to the lowest polymorph of the same formula   0 meV/atom

Unit cell a=9.0264 b=3.8586 c=3.8586 alpha=90.00 beta=90.00 gamma=90.00
Last column: nearest neighbours and their distance in Å.
Fractional positions:
Ir1 0.2596 0.5000 0.5000  4 O 1.94
Ir2 0.7404 0.5000 0.5000  4 O 1.94
O1 0.2413 0.5000 0.0000  2 Ir 1.94
O2 0.7587 0.5000 0.0000  2 Ir 1.94
O3 0.2413 0.0000 0.5000  2 Ir 1.94
O4 0.7587 0.0000 0.5000  2 Ir 1.94
O5 0.5000 0.5000 0.5000  2 Ir 2.17
Tl1 0.0000 0.0000 0.0000  8 O 2.91
Tl2 0.5000 0.0000 0.0000  12 O 2.73-3.03